A plane-wave DFT calculation with GGA-PBE was carried out for a relaxed structure of LaMnC.

Calculated values
* E_form: -0.15 eV per atom
* raw total energy: -7.919 eV/atom
* offset from the most stable computed form: 0.011 eV per atom

Cell lengths 9.4092, 3.7543, 5.8658 Å; angles 90.00, 90.00, 90.00 degrees
Last column: nearest neighbours and their distance in Å.
Element x y z (fractional)
La  0.1727  0.2500  0.0567  2 C 2.65, 1 Mn 2.91
La  0.3273  0.7500  0.5567  2 C 2.65, 1 Mn 2.91
La  0.6727  0.2500  0.4433  2 C 2.65, 1 Mn 2.91
La  0.8273  0.7500  0.9433  2 C 2.65, 1 Mn 2.91
Mn  0.0346  0.2500  0.6129  3 C 1.93
Mn  0.4654  0.7500  0.1129  3 C 1.93
Mn  0.5346  0.2500  0.8871  3 C 1.93
Mn  0.9654  0.7500  0.3871  3 C 1.93
C  0.0567  0.7500  0.6824  3 Mn 1.93
C  0.4433  0.2500  0.1824  3 Mn 1.93
C  0.5567  0.7500  0.8176  3 Mn 1.93
C  0.9433  0.2500  0.3176  3 Mn 1.93


A plane-wave DFT calculation with GGA-PBE was carried out for a relaxed structure of LaMnC.

Calculated values
* E_form: -0.16 eV per atom
* raw total energy: -7.930 eV/atom
* offset from the most stable computed form: 0.000 eV per atom

Cell lengths 3.4034, 3.4034, 8.9830 Å; angles 90.00, 90.00, 90.00 degrees
Last column: nearest neighbours and their distance in Å.
Element x y z (fractional)
La  0.2500  0.2500  0.2132  4 C 2.83, 4 Mn 3.09
La  0.7500  0.7500  0.7868  4 C 2.83, 4 Mn 3.09
Mn  0.2500  0.7500  0.5000  4 C 2.02
Mn  0.7500  0.2500  0.5000  4 C 2.02
C  0.2500  0.2500  0.6215  4 Mn 2.02
C  0.7500  0.7500  0.3785  4 Mn 2.02


A plane-wave DFT calculation with GGA-PBE was carried out for a relaxed structure of La2Mn2C3.

Calculated values
* E_form: -0.20 eV per atom
* raw total energy: -8.184 eV/atom

Cell lengths 5.4059, 5.4059, 5.7831 Å; angles 103.11, 103.11, 39.15 degrees
Last column: nearest neighbours and their distance in Å.
Element x y z (fractional)
La  0.0991  0.0991  0.3151  4 C 2.60-2.88
La  0.9009  0.9009  0.6849  4 C 2.60-2.88
Mn  0.3386  0.3386  0.0918  4 C 1.85-1.95
Mn  0.6614  0.6614  0.9082  4 C 1.85-1.95
C  0.1918  0.1918  0.8072  3 Mn 1.94-1.95
C  0.5000  0.5000  0.0000  2 Mn 1.85
C  0.8082  0.8082  0.1928  3 Mn 1.94-1.95


A plane-wave DFT calculation with GGA-PBE was carried out for a relaxed structure of LaMnC.

Calculated values
* E_form: 0.14 eV per atom
* raw total energy: -7.633 eV/atom
* offset from the most stable computed form: 0.297 eV per atom

Cell lengths 3.3998, 3.3998, 4.5844 Å; angles 90.00, 90.00, 120.00 degrees
Last column: nearest neighbours and their distance in Å.
Element x y z (fractional)
La  0.0000  0.0000  0.0000  6 Mn 3.02, 6 C 3.02
Mn  0.3333  0.6667  0.5000  3 C 1.96
C  0.6667  0.3333  0.5000  3 Mn 1.96


A plane-wave DFT calculation with GGA-PBE was carried out for a relaxed structure of LaMnMoC3.

Calculated values
* E_form: 0.10 eV per atom
* raw total energy: -8.665 eV/atom

Cell lengths 7.0215, 3.3153, 7.5732 Å; angles 90.00, 107.77, 90.00 degrees
Last column: nearest neighbours and their distance in Å.
Element x y z (fractional)
La  0.1984  0.2500  0.2134  5 C 2.60-2.72
La  0.8016  0.7500  0.7866  5 C 2.60-2.72
Mn  0.1045  0.2500  0.6093  4 C 1.83-1.91
Mn  0.8955  0.7500  0.3907  4 C 1.83-1.91
Mo  0.3494  0.7500  0.8713  5 C 2.06-2.27
Mo  0.6506  0.2500  0.1287  5 C 2.06-2.27
C  0.1233  0.2500  0.8555  1 Mn 1.83
C  0.1714  0.7500  0.5350  3 Mn 1.86-1.91
C  0.4609  0.7500  0.1558  3 Mo 2.06-2.18
C  0.5391  0.2500  0.8442  3 Mo 2.06-2.18
C  0.8286  0.2500  0.4650  3 Mn 1.86-1.91
C  0.8767  0.7500  0.1445  1 Mn 1.83


A plane-wave DFT calculation with GGA-PBE was carried out for a relaxed structure of La2Mn2C2N.

Calculated values
* raw total energy: -8.303 eV/atom

Cell lengths 5.4415, 5.4415, 6.5616 Å; angles 121.12, 121.12, 36.97 degrees
Last column: nearest neighbours and their distance in Å.
Element x y z (fractional)
La  0.0681  0.0681  0.3322  2 N 2.56, 1 C 2.83
La  0.9319  0.9319  0.6678  2 N 2.56, 1 C 2.83
Mn  0.3016  0.3016  0.9219  1 N 1.82, 3 C 1.97-1.99
Mn  0.6984  0.6984  0.0781  1 N 1.82, 3 C 1.97-1.99
C  0.2981  0.2981  0.2229  3 Mn 1.97-1.99
C  0.7019  0.7019  0.7771  3 Mn 1.97-1.99
N  0.5000  0.5000  0.0000  2 Mn 1.82


A plane-wave DFT calculation with GGA-PBE was carried out for a relaxed structure of NaLa2MnC.

Calculated values
* E_form: 0.10 eV per atom
* raw total energy: -5.811 eV/atom

Cell lengths 5.4968, 5.4968, 3.8676 Å; angles 90.00, 90.00, 90.00 degrees
Last column: nearest neighbours and their distance in Å.
Element x y z (fractional)
Na  0.0000  0.0000  0.0000  8 La 3.36
La  0.0000  0.5000  0.5000  2 C 2.75
La  0.5000  0.0000  0.5000  2 C 2.75
Mn  0.5000  0.5000  0.0000  2 C 1.93
C  0.5000  0.5000  0.5000  2 Mn 1.93


A plane-wave DFT calculation with GGA-PBE was carried out for a relaxed structure of NaLaMn2C.

Calculated values
* E_form: 0.48 eV per atom
* raw total energy: -6.285 eV/atom

Cell lengths 4.0338, 4.0338, 5.1559 Å; angles 90.00, 90.00, 90.00 degrees
Last column: nearest neighbours and their distance in Å.
Element x y z (fractional)
Na  0.0000  0.0000  0.0000  4 La 2.85
La  0.5000  0.5000  0.0000  2 C 2.58, 4 Na 2.85
Mn  0.0000  0.5000  0.5000  2 C 2.02
Mn  0.5000  0.0000  0.5000  2 C 2.02
C  0.5000  0.5000  0.5000  4 Mn 2.02